# 1
A plane-wave DFT calculation with PBEsol was carried out for crystalline ScBi at its relaxed geometry.

CIF file:
```
data_ScBi
_chemical_formula_sum 'Sc4 Bi4'
_symmetry_space_group_name_H-M 'F m -3 m'
_symmetry_Int_Tables_number 225
_symmetry_space_group_name_Hall '-F 4 2 3'
_cell_length_a 5.941
_cell_length_b 5.941
_cell_length_c 5.941
_cell_angle_alpha 90.00
_cell_angle_beta 90.00
_cell_angle_gamma 90.00
loop_
_atom_site_label
_atom_site_type_symbol
_atom_site_fract_x
_atom_site_fract_y
_atom_site_fract_z
Sc1 Sc 0.000 0.000 0.000
Bi1 Bi 0.000 0.000 0.500
```

Results
Total DFT energy (no corrections) ... -6.16 eV per atom
Total moment ... 0.0 μB/cell


# 2
A plane-wave DFT calculation with PBEsol was carried out for crystalline SrRe2W at its relaxed geometry.

CIF file:
```
data_SrRe2W
_chemical_formula_sum 'Sr2 Re4 W2'
_symmetry_space_group_name_H-M 'I m m m'
_symmetry_Int_Tables_number 71
_symmetry_space_group_name_Hall '-I 2 2'
_cell_length_a 2.988
_cell_length_b 5.065
_cell_length_c 9.592
_cell_angle_alpha 90.00
_cell_angle_beta 90.00
_cell_angle_gamma 90.00
loop_
_atom_site_label
_atom_site_type_symbol
_atom_site_fract_x
_atom_site_fract_y
_atom_site_fract_z
Sr1 Sr 0.000 0.000 0.000
Re1 Re 0.000 0.500 0.220
W1 W 0.000 0.000 0.500
```

Results
Total DFT energy (no corrections) ... -9.52 eV per atom
Polymorph energy (0 for the lowest one) ... 0.292 eV/atom
Total moment ... 0.0 μB/cell


# 3
A plane-wave DFT calculation with PBEsol was carried out for crystalline NaMgScGa2 at its relaxed geometry.

CIF file:
```
data_NaMgScGa2
_chemical_formula_sum 'Na1 Mg1 Sc1 Ga2'
_symmetry_space_group_name_H-M 'P 4/m m m'
_symmetry_Int_Tables_number 123
_symmetry_space_group_name_Hall '-P 4 2'
_cell_length_a 4.890
_cell_length_b 4.890
_cell_length_c 4.762
_cell_angle_alpha 90.00
_cell_angle_beta 90.00
_cell_angle_gamma 90.00
loop_
_atom_site_label
_atom_site_type_symbol
_atom_site_fract_x
_atom_site_fract_y
_atom_site_fract_z
Na1 Na 0.000 0.000 0.000
Mg1 Mg 0.000 0.000 0.500
Sc1 Sc 0.500 0.500 0.500
Ga1 Ga 0.000 0.500 0.000
```

Results
Total DFT energy (no corrections) ... -2.69 eV per atom
Total moment ... 0.0 μB/cell


# 4
A plane-wave DFT calculation with PBEsol was carried out for crystalline CaTa2Os at its relaxed geometry.

CIF file:
```
data_CaTa2Os
_chemical_formula_sum 'Ca2 Ta4 Os2'
_symmetry_space_group_name_H-M 'C m m m'
_symmetry_Int_Tables_number 65
_symmetry_space_group_name_Hall '-C 2 2'
_cell_length_a 5.507
_cell_length_b 9.581
_cell_length_c 2.711
_cell_angle_alpha 90.00
_cell_angle_beta 90.00
_cell_angle_gamma 90.00
loop_
_atom_site_label
_atom_site_type_symbol
_atom_site_fract_x
_atom_site_fract_y
_atom_site_fract_z
Ca1 Ca 0.000 0.000 0.000
Ta1 Ta 0.250 0.250 0.500
Os1 Os 0.000 0.500 0.000
```

Results
Total DFT energy (no corrections) ... -9.21 eV per atom
Polymorph energy (0 for the lowest one) ... 0.048 eV/atom
Total moment ... 0.0 μB/cell


# 5
A plane-wave DFT calculation with PBEsol was carried out for crystalline BaIr2Rh at its relaxed geometry.

CIF file:
```
data_BaIr2Rh
_chemical_formula_sum 'Ba2 Ir4 Rh2'
_symmetry_space_group_name_H-M 'I 4/m m m'
_symmetry_Int_Tables_number 139
_symmetry_space_group_name_Hall '-I 4 2'
_cell_length_a 4.135
_cell_length_b 4.135
_cell_length_c 8.484
_cell_angle_alpha 90.00
_cell_angle_beta 90.00
_cell_angle_gamma 90.00
loop_
_atom_site_label
_atom_site_type_symbol
_atom_site_fract_x
_atom_site_fract_y
_atom_site_fract_z
Ba1 Ba 0.000 0.000 0.000
Ir1 Ir 0.000 0.500 0.250
Rh1 Rh 0.000 0.000 0.500
```

Results
Total DFT energy (no corrections) ... -6.61 eV per atom
Polymorph energy (0 for the lowest one) ... 0.816 eV/atom
Total moment ... 0.0 μB/cell


# 6
A plane-wave DFT calculation with PBEsol was carried out for crystalline Fe2CoNi at its relaxed geometry.

CIF file:
```
data_Fe2CoNi
_chemical_formula_sum 'Fe2 Co1 Ni1'
_symmetry_space_group_name_H-M 'P 1 2/m 1'
_symmetry_Int_Tables_number 10
_cell_length_a 2.409
_cell_length_b 3.908
_cell_length_c 4.685
_cell_angle_alpha 90.00
_cell_angle_beta 100.46
_cell_angle_gamma 90.00
loop_
_symmetry_equiv_pos_as_xyz
'x,y,z'
'-x,-y,-z'
'-x,y,-z'
'x,-y,z'
loop_
_atom_site_label
_atom_site_type_symbol
_atom_site_fract_x
_atom_site_fract_y
_atom_site_fract_z
Fe1 Fe 0.236 0.000 0.252
Co1 Co 0.000 0.500 0.500
Ni1 Ni 0.500 0.500 0.000
```

Results
Total DFT energy (no corrections) ... -7.90 eV per atom
Polymorph energy (0 for the lowest one) ... 0.035 eV/atom
Total moment ... 7.5 μB/cell


# 7
A plane-wave DFT calculation with PBEsol was carried out for crystalline SrTa2RuPb at its relaxed geometry.

CIF file:
```
data_SrTa2RuPb
_chemical_formula_sum 'Sr1 Ta2 Ru1 Pb1'
_symmetry_space_group_name_H-M 'P 4/m m m'
_symmetry_Int_Tables_number 123
_symmetry_space_group_name_Hall '-P 4 2'
_cell_length_a 4.966
_cell_length_b 4.966
_cell_length_c 4.663
_cell_angle_alpha 90.00
_cell_angle_beta 90.00
_cell_angle_gamma 90.00
loop_
_atom_site_label
_atom_site_type_symbol
_atom_site_fract_x
_atom_site_fract_y
_atom_site_fract_z
Sr1 Sr 0.000 0.000 0.000
Ta1 Ta 0.000 0.500 0.000
Ru1 Ru 0.000 0.000 0.500
Pb1 Pb 0.500 0.500 0.500
```

Results
Total DFT energy (no corrections) ... -5.57 eV per atom
Total moment ... 0.0 μB/cell


# 8
A plane-wave DFT calculation with PBEsol was carried out for crystalline Li2Mg at its relaxed geometry.

CIF file:
```
data_Li2Mg
_chemical_formula_sum 'Li8 Mg4'
_symmetry_space_group_name_H-M 'P n m a'
_symmetry_Int_Tables_number 62
_cell_length_a 5.993
_cell_length_b 4.446
_cell_length_c 8.934
_cell_angle_alpha 90.00
_cell_angle_beta 90.00
_cell_angle_gamma 90.00
loop_
_symmetry_equiv_pos_as_xyz
'x,y,z'
'-x,-y,-z'
'-x+1/2,-y,z+1/2'
'x+1/2,y,-z+1/2'
'x+1/2,-y+1/2,-z+1/2'
'-x+1/2,y+1/2,z+1/2'
'-x,y+1/2,-z'
'x,-y+1/2,z'
loop_
_atom_site_label
_atom_site_type_symbol
_atom_site_fract_x
_atom_site_fract_y
_atom_site_fract_z
Li1 Li 0.109 0.250 0.246
Li2 Li 0.133 0.250 0.917
Mg1 Mg 0.134 0.250 0.584
```

Results
Total DFT energy (no corrections) ... -1.92 eV per atom
Total moment ... 0.0 μB/cell


# 9
A plane-wave DFT calculation with PBEsol was carried out for crystalline P2S2Br at its relaxed geometry.

CIF file:
```
data_P2S2Br
_chemical_formula_sum 'P2 S2 Br1'
_symmetry_space_group_name_H-M 'P 4/m m m'
_symmetry_Int_Tables_number 123
_symmetry_space_group_name_Hall '-P 4 2'
_cell_length_a 4.682
_cell_length_b 4.682
_cell_length_c 4.849
_cell_angle_alpha 90.00
_cell_angle_beta 90.00
_cell_angle_gamma 90.00
loop_
_atom_site_label
_atom_site_type_symbol
_atom_site_fract_x
_atom_site_fract_y
_atom_site_fract_z
P1 P 0.000 0.000 0.000
P2 P 0.500 0.500 0.000
S1 S 0.000 0.500 0.500
Br1 Br 0.000 0.000 0.500
```

Results
Raw formation energy ... 744 kJ/mol of formula units
Total DFT energy (no corrections) ... -2.90 eV per atom
Total moment ... 0.0 μB/cell


# 10
A plane-wave DFT calculation with PBEsol was carried out for crystalline BaMoAu2 at its relaxed geometry.

CIF file:
```
data_BaMoAu2
_chemical_formula_sum 'Ba1 Mo1 Au2'
_symmetry_space_group_name_H-M 'P 4/m m m'
_symmetry_Int_Tables_number 123
_symmetry_space_group_name_Hall '-P 4 2'
_cell_length_a 5.264
_cell_length_b 5.264
_cell_length_c 3.093
_cell_angle_alpha 90.00
_cell_angle_beta 90.00
_cell_angle_gamma 90.00
loop_
_atom_site_label
_atom_site_type_symbol
_atom_site_fract_x
_atom_site_fract_y
_atom_site_fract_z
Ba1 Ba 0.000 0.000 0.000
Mo1 Mo 0.500 0.500 0.000
Au1 Au 0.000 0.500 0.500
```

Results
Total DFT energy (no corrections) ... -5.01 eV per atom
Polymorph energy (0 for the lowest one) ... 0.060 eV/atom
Total moment ... 1.5 μB/cell


# 11
A plane-wave DFT calculation with PBEsol was carried out for crystalline LiMnSiO4 at its relaxed geometry.

CIF file:
```
data_LiMnSiO4
_chemical_formula_sum 'Li4 Mn4 Si4 O16'
_symmetry_space_group_name_H-M 'P n m a'
_symmetry_Int_Tables_number 62
_cell_length_a 8.886
_cell_length_b 6.272
_cell_length_c 4.858
_cell_angle_alpha 90.00
_cell_angle_beta 90.00
_cell_angle_gamma 90.00
loop_
_symmetry_equiv_pos_as_xyz
'x,y,z'
'-x,-y,-z'
'-x+1/2,-y,z+1/2'
'x+1/2,y,-z+1/2'
'x+1/2,-y+1/2,-z+1/2'
'-x+1/2,y+1/2,z+1/2'
'-x,y+1/2,-z'
'x,-y+1/2,z'
loop_
_atom_site_label
_atom_site_type_symbol
_atom_site_fract_x
_atom_site_fract_y
_atom_site_fract_z
Li1 Li 0.163 0.250 0.035
Mn1 Mn 0.000 0.000 0.500
Si1 Si 0.181 0.750 0.035
O1 O 0.119 0.535 0.188
O2 O 0.132 0.750 0.711
O3 O 0.133 0.250 0.602
```

Results
Raw formation energy ... -1502 kJ/mol of formula units
Total DFT energy (no corrections) ... -7.72 eV per atom
Polymorph energy (0 for the lowest one) ... 0.019 eV/atom
Total moment ... 16.0 μB/cell


Q: What is the total DFT energy (no corrections) in the third record?
A: -2.69 eV per atom


Repeat the first record exactly.
A plane-wave DFT calculation with PBEsol was carried out for crystalline ScBi at its relaxed geometry.

CIF file:
```
data_ScBi
_chemical_formula_sum 'Sc4 Bi4'
_symmetry_space_group_name_H-M 'F m -3 m'
_symmetry_Int_Tables_number 225
_symmetry_space_group_name_Hall '-F 4 2 3'
_cell_length_a 5.941
_cell_length_b 5.941
_cell_length_c 5.941
_cell_angle_alpha 90.00
_cell_angle_beta 90.00
_cell_angle_gamma 90.00
loop_
_atom_site_label
_atom_site_type_symbol
_atom_site_fract_x
_atom_site_fract_y
_atom_site_fract_z
Sc1 Sc 0.000 0.000 0.000
Bi1 Bi 0.000 0.000 0.500
```

Results
Total DFT energy (no corrections) ... -6.16 eV per atom
Total moment ... 0.0 μB/cell